Record 1
Material: PmPr2Be
Method: DFT, GGA-PBE
State: optimized geometry

Cell: 3.6244 3.6244 8.8212 Å, 90.00 90.00 90.00°
Last column: nearest neighbours and their distance in Å.
Fractional coordinates of all 4 atoms:
1 Pm 0.5000 0.5000 0.5000  4 Pm 3.62, 8 Pr 3.72
2 Be 0.5000 0.5000 0.0000  8 Pr 3.08
3 Pr 0.0000 0.0000 0.1940  4 Be 3.08, 1 Pr 3.42
4 Pr 0.0000 0.0000 0.8060  4 Be 3.08, 1 Pr 3.42

## Properties
Calculated volume: 115.9 Å³/cell
Formation energy: 0.129 eV/atom
SG: P4/mmm

Record 2
Material: Pm2PrBe
Method: DFT, GGA-PBE
State: optimized geometry

Cell: 3.5793 3.5793 8.8269 Å, 90.00 90.00 90.00°
Last column: nearest neighbours and their distance in Å.
Fractional coordinates of all 4 atoms:
1 Be 0.5000 0.5000 0.0000  8 Pm 3.03
2 Pr 0.5000 0.5000 0.5000  4 Pr 3.58, 8 Pm 3.73
3 Pm 0.0000 0.0000 0.8103  4 Be 3.03, 1 Pm 3.35
4 Pm 0.0000 0.0000 0.1897  4 Be 3.03, 1 Pm 3.35

## Properties
Calculated volume: 113.1 Å³/cell
Formation energy: 0.103 eV/atom
SG: P4/mmm

Record 3
Material: Pm2PrBe2Pt7
Method: DFT, GGA-PBE
State: optimized geometry

Cell: 4.1001 4.1001 13.3481 Å, 84.10 84.10 89.60°
Last column: nearest neighbours and their distance in Å.
Fractional coordinates of all 12 atoms:
1 Pr 0.0000 0.0000 0.0000  12 Pt 2.89-3.06
2 Pt 0.6350 0.6350 0.5751  1 Be 2.26
3 Pt 0.3650 0.3650 0.4249  1 Be 2.26
4 Pt 0.0568 0.5555 0.8283  2 Be 2.31-2.32
5 Pt 0.9432 0.4445 0.1717  2 Be 2.31-2.32
6 Pt 0.4445 0.9432 0.1717  2 Be 2.31-2.32
7 Pt 0.5000 0.5000 0.0000  4 Pr 2.89-2.91, 8 Pt 3.06
8 Pt 0.5555 0.0568 0.8283  2 Be 2.31-2.32
9 Be 0.4149 0.4149 0.2535  5 Pt 2.26-2.32
10 Be 0.5851 0.5851 0.7465  5 Pt 2.26-2.32
11 Pm 0.8924 0.8924 0.3511  9 Pt 3.05-3.15, 4 Be 3.13-3.24
12 Pm 0.1076 0.1076 0.6489  9 Pt 3.05-3.15, 4 Be 3.13-3.24

## Properties
Calculated volume: 222.0 Å³/cell
Formation energy: -0.943 eV/atom
SG: C2/m

Record 4
Material: PmPrBeZn
Method: DFT, GGA-PBE
State: optimized geometry

Cell: 5.1037 5.1037 5.1037 Å, 60.00 60.00 60.00°
Last column: nearest neighbours and their distance in Å.
Fractional coordinates of all 4 atoms:
1 Be 0.5000 0.5000 0.5000  4 Pr 3.13, 4 Pm 3.13
2 Pm 0.7500 0.7500 0.7500  4 Be 3.13, 4 Zn 3.13
3 Pr 0.2500 0.2500 0.2500  4 Zn 3.13, 4 Be 3.13
4 Zn 0.0000 0.0000 0.0000  4 Pr 3.13, 4 Pm 3.13

## Properties
Calculated volume: 94.0 Å³/cell
Formation energy: -0.041 eV/atom
SG: F-43m

Record 5
Material: PmBe3Pt
Method: DFT, GGA-PBE
State: optimized geometry

Cell: 4.3169 4.3169 4.3169 Å, 90.00 90.00 90.00°
Last column: nearest neighbours and their distance in Å.
Fractional coordinates of all 5 atoms:
1 Be 0.0000 0.0000 0.5000  2 Pt 2.16
2 Be 0.5000 0.0000 0.0000  2 Pt 2.16
3 Be 0.0000 0.5000 0.0000  2 Pt 2.16
4 Pm 0.5000 0.5000 0.5000  12 Be 3.05
5 Pt 0.0000 0.0000 0.0000  6 Be 2.16

## Properties
Calculated volume: 80.4 Å³/cell
Formation energy: -0.359 eV/atom
SG: Pm-3m

Record 6
Material: PmBe2Pt3
Method: DFT, GGA-PBE
State: optimized geometry

Cell: 3.8583 9.2269 9.2269 Å, 120.00 90.00 90.00°
Last column: nearest neighbours and their distance in Å.
Fractional coordinates of all 18 atoms:
1 Pt 0.5000 0.5000 0.0000  4 Be 2.56, 4 Pt 2.72
2 Pt 0.0000 0.2917 0.0000  4 Be 2.42, 2 Pt 2.69
3 Pt 0.5000 0.5000 0.5000  4 Be 2.56, 4 Pt 2.72
4 Pt 0.0000 0.2917 0.2917  4 Be 2.42, 2 Pt 2.69
5 Pt 0.0000 0.0000 0.7083  4 Be 2.42, 2 Pt 2.69
6 Pt 0.0000 0.0000 0.2917  4 Be 2.42, 2 Pt 2.69
7 Pt 0.5000 0.0000 0.5000  4 Be 2.56, 4 Pt 2.72
8 Pt 0.0000 0.7083 0.7083  4 Be 2.42, 2 Pt 2.69
9 Pt 0.0000 0.7083 0.0000  4 Be 2.42, 2 Pt 2.69
10 Be 0.5000 0.8189 0.1811  6 Pt 2.42-2.56
11 Be 0.5000 0.1811 0.8189  6 Pt 2.42-2.56
12 Be 0.5000 0.8189 0.6378  6 Pt 2.42-2.56
13 Be 0.5000 0.6378 0.8189  6 Pt 2.42-2.56
14 Be 0.5000 0.3622 0.1811  6 Pt 2.42-2.56
15 Be 0.5000 0.1811 0.3622  6 Pt 2.42-2.56
16 Pm 0.5000 0.0000 0.0000  6 Be 2.89
17 Pm 0.0000 0.6667 0.3333  6 Be 3.10, 12 Pt 3.28-3.29
18 Pm 0.0000 0.3333 0.6667  6 Be 3.10, 12 Pt 3.28-3.29

## Properties
Calculated volume: 284.5 Å³/cell
Formation energy: -0.777 eV/atom
SG: P6/mmm